Record 1
Computed, not measured: crystalline BaCrMo at its relaxed geometry at the PBE level of DFT.

Unit cell a=7.9491 b=7.6996 c=3.1013 alpha=83.13 beta=74.08 gamma=22.79
Closest atoms and distances in Å follow each position.
Element x y z (fractional)
Cr (0.3041, 0.3041, 0.6959)  2 Mo 2.31
Mo (0.6996, 0.6996, 0.3004)  2 Cr 2.31
Ba (0.9963, 0.9963, 0.0037)  6 Ba 3.10-3.38, 2 Cr 3.34

- symmetry = No. 42
- total magnetization (μB per cell) = 0.001
- energy relative to the elements (eV/atom) = 1.08


Record 2
Computed, not measured: crystalline BaCr3Mo at its relaxed geometry at the PBE level of DFT.

Unit cell a=4.8998 b=4.8998 c=4.8998 alpha=90.00 beta=90.00 gamma=90.00
Closest atoms and distances in Å follow each position.
Element x y z (fractional)
Cr (0.5000, 0.0000, 0.0000)  2 Mo 2.45
Cr (0.0000, 0.5000, 0.0000)  2 Mo 2.45
Cr (0.0000, 0.0000, 0.5000)  2 Mo 2.45
Ba (0.5000, 0.5000, 0.5000)  12 Cr 3.46
Mo (0.0000, 0.0000, 0.0000)  6 Cr 2.45

- symmetry = No. 221
- total magnetization (μB per cell) = 8.093
- energy relative to the elements (eV/atom) = 1.05


Record 3
Computed, not measured: crystalline BaCrMo2 at its relaxed geometry at the PBE level of DFT.

Unit cell a=4.7928 b=4.7928 c=3.2620 alpha=90.00 beta=90.00 gamma=90.00
Closest atoms and distances in Å follow each position.
Element x y z (fractional)
Mo (0.5000, 0.5000, 0.0000)  4 Cr 2.90, 4 Ba 2.90
Mo (0.0000, 0.0000, 0.0000)  4 Ba 2.90, 4 Cr 2.90
Ba (0.5000, 0.0000, 0.5000)  8 Mo 2.90
Cr (0.0000, 0.5000, 0.5000)  8 Mo 2.90

- symmetry = No. 123
- total magnetization (μB per cell) = 1.375
- energy relative to the elements (eV/atom) = 1.50


Repeat the second record exactly.
Computed, not measured: crystalline BaCr3Mo at its relaxed geometry at the PBE level of DFT.

Unit cell a=4.8998 b=4.8998 c=4.8998 alpha=90.00 beta=90.00 gamma=90.00
Closest atoms and distances in Å follow each position.
Element x y z (fractional)
Cr (0.5000, 0.0000, 0.0000)  2 Mo 2.45
Cr (0.0000, 0.5000, 0.0000)  2 Mo 2.45
Cr (0.0000, 0.0000, 0.5000)  2 Mo 2.45
Ba (0.5000, 0.5000, 0.5000)  12 Cr 3.46
Mo (0.0000, 0.0000, 0.0000)  6 Cr 2.45

- symmetry = No. 221
- total magnetization (μB per cell) = 8.093
- energy relative to the elements (eV/atom) = 1.05


What did the second record say?
Computed, not measured: crystalline BaCr3Mo at its relaxed geometry at the PBE level of DFT.

Unit cell a=4.8998 b=4.8998 c=4.8998 alpha=90.00 beta=90.00 gamma=90.00
Closest atoms and distances in Å follow each position.
Element x y z (fractional)
Cr (0.5000, 0.0000, 0.0000)  2 Mo 2.45
Cr (0.0000, 0.5000, 0.0000)  2 Mo 2.45
Cr (0.0000, 0.0000, 0.5000)  2 Mo 2.45
Ba (0.5000, 0.5000, 0.5000)  12 Cr 3.46
Mo (0.0000, 0.0000, 0.0000)  6 Cr 2.45

- symmetry = No. 221
- total magnetization (μB per cell) = 8.093
- energy relative to the elements (eV/atom) = 1.05


Copy entry 3 word for word.
Computed, not measured: crystalline BaCrMo2 at its relaxed geometry at the PBE level of DFT.

Unit cell a=4.7928 b=4.7928 c=3.2620 alpha=90.00 beta=90.00 gamma=90.00
Closest atoms and distances in Å follow each position.
Element x y z (fractional)
Mo (0.5000, 0.5000, 0.0000)  4 Cr 2.90, 4 Ba 2.90
Mo (0.0000, 0.0000, 0.0000)  4 Ba 2.90, 4 Cr 2.90
Ba (0.5000, 0.0000, 0.5000)  8 Mo 2.90
Cr (0.0000, 0.5000, 0.5000)  8 Mo 2.90

- symmetry = No. 123
- total magnetization (μB per cell) = 1.375
- energy relative to the elements (eV/atom) = 1.50


Question: Which of these has the highest total magnetization?
Answer: BaCr3Mo